First-principles (GGA-PBE) data for a geometry-optimized Cs2FeSeBr6 structure, as listed in Alexandria via LeMat-Bulk.

The structure belongs to space group I4/mmm (No. 139); the cell edges are 8.0211, 8.0211 and 10.9499 Å and the angles 90.00°, 90.00° and 90.00°. The distinct sites, in fractional coordinates, are Cs at (0.0000, 0.5000, 0.2500), Fe at (0.0000, 0.0000, 0.0000), Se at (0.0000, 0.0000, 0.5000), Br at (0.0000, 0.0000, 0.2613) and Br at (0.2188, 0.2188, 0.0000).

As for the density of states at the Fermi level: 9.71 states/eV/cell. Its formation energy (no corrections) is -0.837 eV per atom. For the volume, the calculation gives 35.225 Å³/atom.

=====

First-principles (GGA-PBE) data for a geometry-optimized CsFeSe2Br structure, as listed in Alexandria via LeMat-Bulk.

The structure belongs to space group P4/mmm (No. 123); the cell edges are 4.6021, 4.6021 and 8.4124 Å and the angles 90.00°, 90.00° and 90.00°. The distinct sites, in fractional coordinates, are Cs at (0.0000, 0.0000, 0.0000), Fe at (0.0000, 0.0000, 0.5000), Se at (0.0000, 0.5000, 0.5000) and Br at (0.5000, 0.5000, 0.0000).

As for the density of states at the Fermi level: 4.36 states/eV/cell. Its formation energy (no corrections) is -0.245 eV per atom. For the volume, the calculation gives 35.634 Å³/atom.

=====

First-principles (GGA-PBE) data for a geometry-optimized CsFeSe2Br structure, as listed in Alexandria via LeMat-Bulk.

The structure belongs to space group P4/mmm (No. 123); the cell edges are 4.8628, 4.8628 and 6.0437 Å and the angles 90.00°, 90.00° and 90.00°. The distinct sites, in fractional coordinates, are Cs at (0.0000, 0.0000, 0.0000), Fe at (0.5000, 0.5000, 0.5000), Se at (0.0000, 0.5000, 0.5000) and Br at (0.5000, 0.5000, 0.0000).

As for the density of states at the Fermi level: 2.46 states/eV/cell. Its formation energy (no corrections) is -0.502 eV per atom. For the volume, the calculation gives 28.583 Å³/atom.

=====

First-principles (GGA-PBE) data for a geometry-optimized CsSmFe2Br8 structure, as listed in Alexandria via LeMat-Bulk.

The structure belongs to space group C2/m (No. 12); the cell edges are 11.4493, 7.8277 and 10.6289 Å and the angles 90.00°, 97.60° and 90.00°. The distinct sites, in fractional coordinates, are Cs at (0.0000, 0.0000, 0.0000), Sm at (0.0000, 0.0000, 0.5000), Fe at (0.1161, 0.5000, 0.2927), Br at (0.0200, 0.2523, 0.7001), Br at (0.1869, 0.5000, 0.0938) and Br at (0.2489, 0.5000, 0.4935).

As for the density of states at the Fermi level: 25.70 states/eV/cell. Its formation energy (no corrections) is -1.100 eV per atom. For the volume, the calculation gives 39.342 Å³/atom.